Here is a relaxed La2PrErSe4 crystal from Alexandria via LeMat-Bulk. Energies are from PBE.

Values from the calculation:
Density of states at the Fermi level (states/eV/atom): 0.656
Mass density (g cm⁻³): 6.974
Uncorrected formation energy (eV per atom): -1.882
Magnetic moment (Bohr magnetons per cell): 0.00

Cell lengths 7.359, 4.185, 7.368 Å; angles 90.00, 108.91, 90.00 degrees
Space group P2/m (No. 10)
Inequivalent atoms, fractional coordinates:
La: 0.000 0.000 0.000 (multiplicity 1)
La: 0.000 0.500 0.500 (multiplicity 1)
Pr: 0.500 0.000 0.500 (multiplicity 1)
Er: 0.500 0.500 0.000 (multiplicity 1)
Se: 0.259 0.500 0.243 (multiplicity 2)
Se: 0.267 0.000 0.766 (multiplicity 2)